Material: CsZr2As3O12
Method: DFT, PBE
State: optimized geometry

POSCAR file:
```
CsZr2As3O12
1.0
4.440 2.563 8.666
-4.440 2.563 8.666
0.000 -5.127 8.666
Cs Zr As O
2 4 6 24
Direct
0.000 0.000 0.000
0.500 0.500 0.500
0.151 0.151 0.151
0.349 0.349 0.349
0.651 0.651 0.651
0.849 0.849 0.849
0.022 0.750 0.478
0.250 0.522 0.978
0.478 0.022 0.750
0.522 0.978 0.250
0.750 0.478 0.022
0.978 0.250 0.522
0.018 0.715 0.668
0.063 0.696 0.929
0.071 0.937 0.304
0.168 0.215 0.518
0.196 0.563 0.429
0.215 0.518 0.168
0.285 0.332 0.982
0.304 0.071 0.937
0.332 0.982 0.285
0.429 0.196 0.563
0.437 0.571 0.804
0.482 0.832 0.785
0.518 0.168 0.215
0.563 0.429 0.196
0.571 0.804 0.437
0.668 0.018 0.715
0.696 0.929 0.063
0.715 0.668 0.018
0.785 0.482 0.832
0.804 0.437 0.571
0.832 0.785 0.482
0.929 0.063 0.696
0.937 0.304 0.071
0.982 0.285 0.332
```

Computed properties:
**Symmetry**: R-3c
**Magnetization**: 0.0 μB per formula unit
**Electronic total energy**: -7.13 eV per atom